No. 1
This record from the Alexandria database describes an optimized crystal structure of PmZrPa2. The functional is PBE.

abc: 5.306 5.306 5.310
angles: 60.03 60.03 60.00
Positions (direct):
1 Pm 0.000 0.000 0.000
2 Zr 0.500 0.500 0.500
3 Pa 0.250 0.250 0.251
4 Pa 0.750 0.750 0.749

Properties
E_form   473 meV/atom


No. 2
This record from the Alexandria database describes an optimized crystal structure of Sm2MnBePd6. The functional is PBE.

abc: 5.864 7.113 7.187
angles: 47.76 66.62 90.37
Last column: magnetic moment on the atom in μB.
Positions (direct):
1 Pd 0.166 0.205 0.141  0.07
2 Pd 0.834 0.795 0.859  0.07
3 Pd 0.694 0.206 0.133  0.08
4 Pd 0.306 0.794 0.867  0.08
5 Pd 0.280 0.307 0.443  0.07
6 Pd 0.720 0.693 0.557  0.07
7 Be 0.500 0.500 0.000  0.01
8 Sm 0.759 0.320 0.484  -0.03
9 Sm 0.241 0.680 0.516  -0.03
10 Mn 0.000 0.000 0.000  3.87

Properties
E_form   -520 meV/atom


No. 3
This record from the Alexandria database describes an optimized crystal structure of NbTeSe4. The functional is PBE.

abc: 6.201 7.744 7.748
angles: 106.96 101.41 101.36
Positions (direct):
1 Te 0.750 0.531 0.470
2 Te 0.250 0.469 0.530
3 Se 0.970 0.108 0.773
4 Se 0.108 0.309 0.128
5 Se 0.608 0.128 0.309
6 Se 0.470 0.773 0.108
7 Se 0.530 0.227 0.892
8 Se 0.392 0.872 0.691
9 Se 0.892 0.691 0.872
10 Se 0.030 0.892 0.227
11 Nb 0.250 0.000 0.000
12 Nb 0.750 0.000 0.000

Properties
Uncorrected formation energy   -416 meV/atom


No. 4
This record from the Alexandria database describes an optimized crystal structure of SmGdGa. The functional is PBE.

abc: 3.649 3.649 6.702
angles: 105.80 105.80 90.00
Last column: magnetic moment on the atom in μB.
Positions (direct):
1 Gd 0.312 0.312 0.624  7.27
2 Ga 0.668 0.668 0.336  -0.01
3 Sm 0.020 0.020 0.041  0.15

Properties
E_form   -360 meV/atom


No. 5
This record from the Alexandria database describes an optimized crystal structure of HfReBi3. The functional is PBE.

abc: 5.587 5.587 5.587
angles: 90.00 90.00 90.00
Last column: magnetic moment on the atom in μB.
Positions (direct):
1 Re 0.500 0.500 0.500  3.78
2 Bi 0.000 0.500 0.000  -0.10
3 Bi 0.500 0.000 0.000  -0.06
4 Bi 0.000 0.000 0.500  -0.17
5 Hf 0.000 0.000 0.000  0.16

Properties
E_form   1484 meV/atom


No. 6
This record from the Alexandria database describes an optimized crystal structure of Ba2CaDySe4. The functional is PBE.

abc: 4.362 7.567 7.770
angles: 108.89 90.00 90.00
Positions (direct):
1 Se 0.000 0.268 0.786
2 Se 0.500 0.245 0.216
3 Se 0.500 0.755 0.784
4 Se 0.000 0.732 0.214
5 Ba 0.500 0.000 0.500
6 Ba 0.000 0.500 0.500
7 Dy 0.500 0.500 0.000
8 Ca 0.000 0.000 0.000

Properties
Uncorrected formation energy   -1939 meV/atom


No. 7
This record from the Alexandria database describes an optimized crystal structure of BeIr3. The functional is PBE.

abc: 4.605 4.605 2.713
angles: 90.00 90.00 109.46
Positions (direct):
1 Ir 0.000 0.500 0.500
2 Ir 0.500 0.500 0.000
3 Ir 0.500 0.000 0.500
4 Be 0.000 0.000 0.000

Properties
E_form   -56 meV/atom


No. 8
This record from the Alexandria database describes an optimized crystal structure of RbZrSe2I. The functional is PBE.

abc: 5.278 5.278 5.994
angles: 90.00 90.00 90.00
Positions (direct):
1 Se 0.000 0.500 0.000
2 Se 0.500 0.000 0.000
3 Rb 0.500 0.500 0.500
4 I 0.000 0.000 0.500
5 Zr 0.000 0.000 0.000

Properties
Uncorrected formation energy   -1135 meV/atom


| no. | energy (eV per cell) |
| --- | --- |
| 1 | -30.40 |
| 2 | -58.69 |
| 3 | -59.29 |
| 4 | -22.91 |
| 5 | -26.62 |
| 6 | -39.90 |
| 7 | -30.53 |
| 8 | -23.71 |